No. 1
Entry from the Alexandria database: crystalline BaMnAs2 at its relaxed geometry (PBE).

## Properties
Magnetization: 0.0 μB per formula unit
VASP energy: -5.474 eV/atom
Energy relative to the elements: -1.5 eV per formula unit
Space group: I4_1/amd

Cell: 8.1483 8.1483 8.1483 Å, 140.53 140.53 57.05°
Last column: nearest neighbours and their distance in Å.
Sites, in units of the cell vectors:
Ba (0.3750, 0.6250, 0.7500)  8 As 3.56, 4 Mn 3.89
Ba (0.6250, 0.3750, 0.2500)  8 As 3.56, 4 Mn 3.89
Mn (0.1250, 0.8750, 0.2500)  4 As 2.26
Mn (0.8750, 0.1250, 0.7500)  4 As 2.26
As (0.0000, 0.0000, 0.0000)  2 Mn 2.26
As (0.0000, 0.0000, 0.5000)  2 Mn 2.26
As (0.0000, 0.5000, 0.0000)  2 Mn 2.26
As (0.5000, 0.0000, 0.5000)  2 Mn 2.26

No. 2
Entry from the Alexandria database: crystalline BaMn2As at its relaxed geometry (PBE).

## Properties
Magnetization: 7.3 μB per formula unit
VASP energy: -6.087 eV/atom
Energy relative to the elements: 0.6 eV per formula unit
Space group: P4mm

Cell: 3.4580 3.4580 7.5074 Å, 90.00 90.00 90.00°
Last column: nearest neighbours and their distance in Å.
Sites, in units of the cell vectors:
Ba (0.0000, 0.0000, 0.0000)  4 Ba 3.46, 4 As 3.48, 5 Mn 3.51-3.53
Mn (0.0000, 0.0000, 0.5326)  4 As 2.65, 4 Mn 2.85
Mn (0.5000, 0.5000, 0.3383)  1 As 2.49
As (0.5000, 0.5000, 0.6695)  5 Mn 2.49-2.65

No. 3
Entry from the Alexandria database: crystalline BaMnAs2 at its relaxed geometry (PBE).

## Properties
Magnetization: 4.6 μB per formula unit
VASP energy: -5.091 eV/atom
Energy relative to the elements: 0.0 eV per formula unit
Space group: Cmmm

Cell: 4.9101 4.9101 4.2209 Å, 90.00 90.00 90.48°
Last column: nearest neighbours and their distance in Å.
Sites, in units of the cell vectors:
Ba (0.0000, 0.0000, 0.0000)  8 As 3.24, 4 Mn 3.46-3.49
Mn (0.5000, 0.5000, 0.0000)  8 As 3.24, 4 Ba 3.46-3.49
As (0.0000, 0.5000, 0.5000)  4 Ba 3.24, 4 Mn 3.24, 4 As 3.46-3.49
As (0.5000, 0.0000, 0.5000)  4 Ba 3.24, 4 Mn 3.24, 4 As 3.46-3.49

No. 4
Entry from the Alexandria database: crystalline BaMnAs2 at its relaxed geometry (PBE).

## Properties
Magnetization: 3.0 μB per formula unit
VASP energy: -5.506 eV/atom
Energy relative to the elements: -1.6 eV per formula unit
Space group: Amm2

Cell: 4.4651 6.5182 6.5182 Å, 37.50 90.00 90.00°
Last column: nearest neighbours and their distance in Å.
Sites, in units of the cell vectors:
Ba (0.0000, 0.0000, 0.0000)  7 As 3.37-3.54, 2 Mn 3.55
Mn (0.5000, 0.7759, 0.7759)  4 As 2.36-2.45
As (0.0000, 0.7133, 0.7133)  2 Mn 2.36
As (0.5000, 0.3785, 0.3785)  2 Mn 2.45

No. 5
Entry from the Alexandria database: crystalline BaMn2As at its relaxed geometry (PBE).

## Properties
Magnetization: 4.1 μB per formula unit
VASP energy: -6.213 eV/atom
Energy relative to the elements: 0.1 eV per formula unit
Space group: R-3m

Cell: 6.2558 6.2558 6.2558 Å, 39.37 39.37 39.37°
Last column: nearest neighbours and their distance in Å.
Sites, in units of the cell vectors:
Ba (0.0000, 0.0000, 0.0000)  8 Mn 3.24-3.51
Mn (0.1872, 0.1872, 0.1872)  3 As 2.46, 3 Mn 2.53
Mn (0.8128, 0.8128, 0.8128)  3 As 2.46, 3 Mn 2.53
As (0.5000, 0.5000, 0.5000)  6 Mn 2.46

No. 6
Entry from the Alexandria database: crystalline BaMn3As3 at its relaxed geometry (PBE).

## Properties
Magnetization: 1.5 μB per formula unit
VASP energy: -6.686 eV/atom
Energy relative to the elements: -3.4 eV per formula unit
Space group: P6_3/m

Cell: 8.8765 8.8765 4.1492 Å, 90.00 90.00 120.00°
Last column: nearest neighbours and their distance in Å.
Sites, in units of the cell vectors:
Ba (0.3333, 0.6667, 0.2500)  9 As 3.36-3.53
Ba (0.6667, 0.3333, 0.7500)  9 As 3.36-3.53
Mn (0.0365, 0.8610, 0.2500)  4 As 2.41-2.49, 6 Mn 2.47-2.52
Mn (0.1390, 0.1755, 0.2500)  4 As 2.41-2.49, 6 Mn 2.47-2.52
Mn (0.1755, 0.0365, 0.7500)  4 As 2.41-2.49, 6 Mn 2.47-2.52
Mn (0.8245, 0.9635, 0.2500)  4 As 2.41-2.49, 6 Mn 2.47-2.52
Mn (0.8610, 0.8245, 0.7500)  4 As 2.41-2.49, 6 Mn 2.47-2.52
Mn (0.9635, 0.1390, 0.7500)  4 As 2.41-2.49, 6 Mn 2.47-2.52
As (0.0696, 0.7258, 0.7500)  4 Mn 2.41-2.49
As (0.2742, 0.3437, 0.7500)  4 Mn 2.41-2.49
As (0.3437, 0.0696, 0.2500)  4 Mn 2.41-2.49
As (0.6563, 0.9304, 0.7500)  4 Mn 2.41-2.49
As (0.7258, 0.6563, 0.2500)  4 Mn 2.41-2.49
As (0.9304, 0.2742, 0.2500)  4 Mn 2.41-2.49

No. 7
Entry from the Alexandria database: crystalline BaMnAs2 at its relaxed geometry (PBE).

## Properties
Magnetization: 4.3 μB per formula unit
VASP energy: -5.037 eV/atom
Energy relative to the elements: 0.2 eV per formula unit
Space group: I-4m2

Cell: 6.0663 6.0663 6.0663 Å, 137.26 137.26 62.04°
Last column: nearest neighbours and their distance in Å.
Sites, in units of the cell vectors:
Ba (0.0000, 0.0000, 0.0000)  8 As 3.13-3.41, 4 Mn 3.41
Mn (0.2500, 0.7500, 0.5000)  8 As 3.13-3.41, 4 Ba 3.41
As (0.5000, 0.5000, 0.0000)  4 Ba 3.13, 4 Mn 3.41, 4 As 3.41
As (0.7500, 0.2500, 0.5000)  4 Mn 3.13, 4 Ba 3.41, 4 As 3.41

No. 8
Entry from the Alexandria database: crystalline BaMnNbAs2 at its relaxed geometry (PBE).

## Properties
Magnetization: 4.0 μB per formula unit
VASP energy: -6.255 eV/atom
Energy relative to the elements: -0.8 eV per formula unit
Space group: P4/mmm

Cell: 5.1194 5.1194 5.0186 Å, 90.00 90.00 90.00°
Last column: nearest neighbours and their distance in Å.
Sites, in units of the cell vectors:
Ba (0.0000, 0.0000, 0.0000)  8 As 3.58, 4 Mn 3.62
Mn (0.5000, 0.5000, 0.0000)  2 Nb 2.51
Nb (0.5000, 0.5000, 0.5000)  2 Mn 2.51, 4 As 2.56
As (0.0000, 0.5000, 0.5000)  2 Nb 2.56
As (0.5000, 0.0000, 0.5000)  2 Nb 2.56